DFT (PBE with a Hubbard U) results for a relaxed SrMoP2O crystal.

Cell lengths 4.898, 4.898, 3.952 Å; angles 90.00, 90.00, 90.00 degrees
Atoms (fractional coordinates):
Sr 0.000 0.000 0.000
Mo 0.500 0.500 0.500
P 0.000 0.500 0.500
P 0.500 0.000 0.500
O 0.500 0.500 0.000

## Properties
The total energy comes out at -5.5196 eV per atom. As for the space group: P4/mmm, No. 123. For the polymorph energy (0 for the lowest one), the calculation gives 0.0000 eV/atom. The calculation puts the total magnetization at 0.00 μB/f.u. The density of states at the Fermi level is 1.47 states/eV per cell.